VASP calculation (PBE-GGA) on a relaxed structure of TmScCd.

Geometry as CIF:
```
data_TmScCd
_space_group_name_H-M_alt 'P 1'
_space_group_IT_number 1
_space_group_name_Hall 'P 1'
_cell_length_a 5.084
_cell_length_b 5.084
_cell_length_c 3.387
_cell_angle_alpha 90.00
_cell_angle_beta 90.00
_cell_angle_gamma 120.00
loop_
_atom_site_label
_atom_site_fract_x
_atom_site_fract_y
_atom_site_fract_z
_atom_site_occupancy
Tm1 0.000 0.000 0.000 1
Sc1 0.333 0.667 0.450 1
Cd1 0.667 0.333 0.622 1
```

Output
total magnetic moment = 0.0 μB per formula unit
formation energy = -74 meV per atom



VASP calculation (PBE-GGA) on a relaxed structure of Tm2ScCd.

Geometry as CIF:
```
data_Tm2ScCd
_space_group_name_H-M_alt 'P 1'
_space_group_IT_number 1
_space_group_name_Hall 'P 1'
_cell_length_a 4.723
_cell_length_b 4.723
_cell_length_c 4.643
_cell_angle_alpha 90.00
_cell_angle_beta 90.00
_cell_angle_gamma 90.00
loop_
_atom_site_label
_atom_site_fract_x
_atom_site_fract_y
_atom_site_fract_z
_atom_site_occupancy
Tm1 0.000 0.500 0.000 1
Tm2 0.500 0.000 0.000 1
Sc1 0.000 0.000 0.500 1
Cd1 0.500 0.500 0.500 1
```

Output
total magnetic moment = 0.2 μB per formula unit
formation energy = -87 meV per atom



VASP calculation (PBE-GGA) on a relaxed structure of TmSc3Cd6.

Geometry as CIF:
```
data_TmSc3Cd6
_space_group_name_H-M_alt 'P 1'
_space_group_IT_number 1
_space_group_name_Hall 'P 1'
_cell_length_a 8.782
_cell_length_b 5.005
_cell_length_c 10.660
_cell_angle_alpha 90.00
_cell_angle_beta 105.95
_cell_angle_gamma 90.00
loop_
_atom_site_label
_atom_site_fract_x
_atom_site_fract_y
_atom_site_fract_z
_atom_site_occupancy
Tm1 0.056 0.250 0.395 1
Tm2 0.944 0.750 0.605 1
Sc1 0.246 0.250 0.003 1
Sc2 0.352 0.750 0.801 1
Sc3 0.464 0.250 0.606 1
Sc4 0.536 0.750 0.394 1
Sc5 0.648 0.250 0.199 1
Sc6 0.754 0.750 0.997 1
Cd1 0.058 0.750 0.905 1
Cd2 0.147 0.750 0.199 1
Cd3 0.162 0.250 0.703 1
Cd4 0.256 0.750 0.507 1
Cd5 0.356 0.250 0.298 1
Cd6 0.454 0.750 0.097 1
Cd7 0.546 0.250 0.903 1
Cd8 0.644 0.750 0.702 1
Cd9 0.744 0.250 0.493 1
Cd10 0.838 0.750 0.297 1
Cd11 0.853 0.250 0.801 1
Cd12 0.942 0.250 0.095 1
```

Output
total magnetic moment = 0.0 μB per formula unit
formation energy = -253 meV per atom



VASP calculation (PBE-GGA) on a relaxed structure of Tm3Sc7Cd2.

Geometry as CIF:
```
data_Tm3Sc7Cd2
_space_group_name_H-M_alt 'P 1'
_space_group_IT_number 1
_space_group_name_Hall 'P 1'
_cell_length_a 5.297
_cell_length_b 3.387
_cell_length_c 17.213
_cell_angle_alpha 90.00
_cell_angle_beta 94.72
_cell_angle_gamma 90.00
loop_
_atom_site_label
_atom_site_fract_x
_atom_site_fract_y
_atom_site_fract_z
_atom_site_occupancy
Tm1 0.000 0.000 0.000 1
Tm2 0.286 0.500 0.635 1
Tm3 0.714 0.500 0.365 1
Sc1 0.191 0.500 0.152 1
Sc2 0.239 0.000 0.461 1
Sc3 0.309 0.000 0.835 1
Sc4 0.500 0.500 0.000 1
Sc5 0.691 0.000 0.165 1
Sc6 0.761 0.000 0.539 1
Sc7 0.809 0.500 0.848 1
Cd1 0.195 0.000 0.292 1
Cd2 0.805 0.000 0.708 1
```

Output
total magnetic moment = 0.0 μB per formula unit
formation energy = 11 meV per atom



VASP calculation (PBE-GGA) on a relaxed structure of YTmScCd.

Geometry as CIF:
```
data_YTmScCd
_space_group_name_H-M_alt 'P 1'
_space_group_IT_number 1
_space_group_name_Hall 'P 1'
_cell_length_a 5.320
_cell_length_b 5.320
_cell_length_c 5.320
_cell_angle_alpha 60.00
_cell_angle_beta 60.00
_cell_angle_gamma 60.00
loop_
_atom_site_label
_atom_site_fract_x
_atom_site_fract_y
_atom_site_fract_z
_atom_site_occupancy
Y1 0.000 0.000 0.000 1
Tm1 0.500 0.500 0.500 1
Sc1 0.750 0.750 0.750 1
Cd1 0.250 0.250 0.250 1
```

Output
total magnetic moment = 0.3 μB per formula unit
formation energy = -42 meV per atom



VASP calculation (PBE-GGA) on a relaxed structure of YTmScCd.

Geometry as CIF:
```
data_YTmScCd
_space_group_name_H-M_alt 'P 1'
_space_group_IT_number 1
_space_group_name_Hall 'P 1'
_cell_length_a 3.541
_cell_length_b 3.541
_cell_length_c 8.621
_cell_angle_alpha 90.00
_cell_angle_beta 90.00
_cell_angle_gamma 90.00
loop_
_atom_site_label
_atom_site_fract_x
_atom_site_fract_y
_atom_site_fract_z
_atom_site_occupancy
Y1 0.000 0.000 0.000 1
Tm1 0.000 0.000 0.518 1
Sc1 0.500 0.500 0.263 1
Cd1 0.500 0.500 0.755 1
```

Output
total magnetic moment = 0.0 μB per formula unit
formation energy = -136 meV per atom



VASP calculation (PBE-GGA) on a relaxed structure of TmZrScCd.

Geometry as CIF:
```
data_TmZrScCd
_space_group_name_H-M_alt 'P 1'
_space_group_IT_number 1
_space_group_name_Hall 'P 1'
_cell_length_a 3.349
_cell_length_b 3.349
_cell_length_c 8.668
_cell_angle_alpha 90.00
_cell_angle_beta 90.00
_cell_angle_gamma 90.00
loop_
_atom_site_label
_atom_site_fract_x
_atom_site_fract_y
_atom_site_fract_z
_atom_site_occupancy
Tm1 0.000 0.000 0.000 1
Zr1 0.500 0.500 0.734 1
Sc1 0.000 0.000 0.490 1
Cd1 0.500 0.500 0.258 1
```

Output
total magnetic moment = 0.0 μB per formula unit
formation energy = -154 meV per atom



VASP calculation (PBE-GGA) on a relaxed structure of TmZrScCd.

Geometry as CIF:
```
data_TmZrScCd
_space_group_name_H-M_alt 'P 1'
_space_group_IT_number 1
_space_group_name_Hall 'P 1'
_cell_length_a 5.158
_cell_length_b 5.158
_cell_length_c 5.158
_cell_angle_alpha 60.00
_cell_angle_beta 60.00
_cell_angle_gamma 60.00
loop_
_atom_site_label
_atom_site_fract_x
_atom_site_fract_y
_atom_site_fract_z
_atom_site_occupancy
Tm1 0.000 0.000 0.000 1
Zr1 0.750 0.750 0.750 1
Sc1 0.500 0.500 0.500 1
Cd1 0.250 0.250 0.250 1
```

Output
total magnetic moment = 2.3 μB per formula unit
formation energy = 38 meV per atom



VASP calculation (PBE-GGA) on a relaxed structure of Sc2UCd.

Geometry as CIF:
```
data_Sc2UCd
_space_group_name_H-M_alt 'P 1'
_space_group_IT_number 1
_space_group_name_Hall 'P 1'
_cell_length_a 3.100
_cell_length_b 3.100
_cell_length_c 9.284
_cell_angle_alpha 90.00
_cell_angle_beta 90.00
_cell_angle_gamma 90.00
loop_
_atom_site_label
_atom_site_fract_x
_atom_site_fract_y
_atom_site_fract_z
_atom_site_occupancy
Sc1 0.000 0.000 0.244 1
Sc2 0.000 0.000 0.756 1
U1 0.500 0.500 0.500 1
Cd1 0.500 0.500 0.000 1
```

Output
total magnetic moment = 1.8 μB per formula unit
formation energy = 17 meV per atom



VASP calculation (PBE-GGA) on a relaxed structure of Sc2V2Cd.

Geometry as CIF:
```
data_Sc2V2Cd
_space_group_name_H-M_alt 'P 1'
_space_group_IT_number 1
_space_group_name_Hall 'P 1'
_cell_length_a 7.621
_cell_length_b 7.621
_cell_length_c 3.374
_cell_angle_alpha 90.00
_cell_angle_beta 90.00
_cell_angle_gamma 90.00
loop_
_atom_site_label
_atom_site_fract_x
_atom_site_fract_y
_atom_site_fract_z
_atom_site_occupancy
Sc1 0.200 0.300 0.000 1
Sc2 0.300 0.800 0.000 1
Sc3 0.700 0.200 0.000 1
Sc4 0.800 0.700 0.000 1
V1 0.090 0.590 0.500 1
V2 0.410 0.090 0.500 1
V3 0.590 0.910 0.500 1
V4 0.910 0.410 0.500 1
Cd1 0.000 0.000 0.500 1
Cd2 0.500 0.500 0.500 1
```

Output
total magnetic moment = 0.5 μB per formula unit
formation energy = 176 meV per atom



VASP calculation (PBE-GGA) on a relaxed structure of Sc2VCd2.

Geometry as CIF:
```
data_Sc2VCd2
_space_group_name_H-M_alt 'P 1'
_space_group_IT_number 1
_space_group_name_Hall 'P 1'
_cell_length_a 7.751
_cell_length_b 7.751
_cell_length_c 3.672
_cell_angle_alpha 90.00
_cell_angle_beta 90.00
_cell_angle_gamma 90.00
loop_
_atom_site_label
_atom_site_fract_x
_atom_site_fract_y
_atom_site_fract_z
_atom_site_occupancy
Sc1 0.172 0.328 0.000 1
Sc2 0.328 0.828 0.000 1
Sc3 0.672 0.172 0.000 1
Sc4 0.828 0.672 0.000 1
V1 0.000 0.000 0.500 1
V2 0.500 0.500 0.500 1
Cd1 0.131 0.631 0.500 1
Cd2 0.369 0.131 0.500 1
Cd3 0.631 0.869 0.500 1
Cd4 0.869 0.369 0.500 1
```

Output
total magnetic moment = 4.0 μB per formula unit
formation energy = 139 meV per atom



VASP calculation (PBE-GGA) on a relaxed structure of Sc2VCdW.

Geometry as CIF:
```
data_Sc2VCdW
_space_group_name_H-M_alt 'P 1'
_space_group_IT_number 1
_space_group_name_Hall 'P 1'
_cell_length_a 5.000
_cell_length_b 5.000
_cell_length_c 4.771
_cell_angle_alpha 90.00
_cell_angle_beta 90.00
_cell_angle_gamma 90.00
loop_
_atom_site_label
_atom_site_fract_x
_atom_site_fract_y
_atom_site_fract_z
_atom_site_occupancy
Sc1 0.000 0.500 0.000 1
Sc2 0.500 0.000 0.000 1
V1 0.000 0.000 0.500 1
Cd1 0.000 0.000 0.000 1
W1 0.500 0.500 0.500 1
```

Output
total magnetic moment = 0.0 μB per formula unit
formation energy = 1761 meV per atom